DFT (PBE) results for HfNpCoTc after structural relaxation.

Computed properties:
The calculated formation energy comes out at -2.000 kcal/mol of atoms. For the total energy, the calculation gives -40.713 eV/f.u. The symmetry is F-43m (216).

```
HfNpCoTc
1.0
4.626 0.000 0.000
2.313 4.007 0.000
2.313 1.336 3.777
Tc Hf Np Co
1 1 1 1
Direct
0.750 0.750 0.750
0.500 0.500 0.500
0.000 0.000 0.000
0.250 0.250 0.250
```